1.
A plane-wave DFT calculation with SCAN was carried out for a PBEsol-optimized structure of InRh3N.

Geometry as CIF:
```
data_InRh3N
_space_group_name_H-M_alt 'P m -3 m'
_space_group_IT_number 221
_space_group_name_Hall '-P 4 2 3'
_cell_length_a 4.064
_cell_length_b 4.064
_cell_length_c 4.064
_cell_angle_alpha 90.00
_cell_angle_beta 90.00
_cell_angle_gamma 90.00
loop_
_atom_site_label
_atom_site_fract_x
_atom_site_fract_y
_atom_site_fract_z
In1 0.000 0.000 0.000
Rh1 0.000 0.500 0.500
N1 0.500 0.500 0.500
```

Results
**Energy**: -144.30 eV for the cell shown
**Energy relative to the elements, uncorrected**: -62 meV per atom
**Density**: 10.82 g/cm³
**Crystal system**: cubic
**Total magnetic moment**: 0.000 μB/atom

---

2.
A plane-wave DFT calculation with SCAN was carried out for a PBEsol-optimized structure of Sc2PtPb.

Geometry as CIF:
```
data_Sc2PtPb
_space_group_name_H-M_alt 'A m m 2'
_space_group_IT_number 38
_space_group_name_Hall 'A 2 -2'
_cell_length_a 4.378
_cell_length_b 3.480
_cell_length_c 10.895
_cell_angle_alpha 90.00
_cell_angle_beta 90.00
_cell_angle_gamma 90.00
loop_
_atom_site_label
_atom_site_fract_x
_atom_site_fract_y
_atom_site_fract_z
Sc1 0.000 0.000 0.000
Sc2 0.500 0.000 0.308
Pt1 0.500 0.000 0.549
Pb1 0.000 0.000 0.726
```

Results
**Energy**: -356.56 eV for the cell shown
**ΔE_f**: -0.96 eV per atom
**Density**: 9.85 g/cm³
**Crystal system**: orthorhombic
**Total magnetic moment**: 0.002 μB/atom

---

3.
A plane-wave DFT calculation with SCAN was carried out for a PBEsol-optimized structure of Ca5Pt.

Geometry as CIF:
```
data_Ca5Pt
_space_group_name_H-M_alt 'P 6/m m m'
_space_group_IT_number 191
_space_group_name_Hall '-P 6 2'
_cell_length_a 6.1379
_cell_length_b 6.1379
_cell_length_c 6.2982
_cell_angle_alpha 90.00
_cell_angle_beta 90.00
_cell_angle_gamma 120.00
loop_
_atom_site_label
_atom_site_fract_x
_atom_site_fract_y
_atom_site_fract_z
Ca1 0.0000 0.5000 0.0000
Ca2 0.3333 0.6667 0.5000
Pt1 0.0000 0.0000 0.5000
```

Results
**Energy**: -114.74 eV for the cell shown
**ΔE_f**: 0.63 eV per atom
**Density**: 3.20 g/cm³
**Crystal system**: hexagonal
**Total magnetic moment**: 0.000 μB/atom

---

4.
A plane-wave DFT calculation with SCAN was carried out for a PBEsol-optimized structure of Li2MgTa.

Geometry as CIF:
```
data_Li2MgTa
_space_group_name_H-M_alt 'I m m 2'
_space_group_IT_number 44
_space_group_name_Hall 'I 2 -2'
_cell_length_a 2.710
_cell_length_b 4.959
_cell_length_c 10.042
_cell_angle_alpha 90.00
_cell_angle_beta 90.00
_cell_angle_gamma 90.00
loop_
_atom_site_label
_atom_site_fract_x
_atom_site_fract_y
_atom_site_fract_z
Li1 0.000 0.000 0.000
Li2 0.000 0.500 0.280
Mg1 0.000 0.500 0.739
Ta1 0.000 0.000 0.510
```

Results
**Energy**: -148.86 eV for the cell shown
**ΔE_f**: 0.48 eV per atom
**Density**: 5.39 g/cm³
**Crystal system**: orthorhombic
**Total magnetic moment**: 0.185 μB/atom

---

5.
A plane-wave DFT calculation with SCAN was carried out for a PBEsol-optimized structure of ScAlCl2.

Geometry as CIF:
```
data_ScAlCl2
_space_group_name_H-M_alt 'I m m m'
_space_group_IT_number 71
_space_group_name_Hall '-I 2 2'
_cell_length_a 3.174
_cell_length_b 5.707
_cell_length_c 9.375
_cell_angle_alpha 90.00
_cell_angle_beta 90.00
_cell_angle_gamma 90.00
loop_
_atom_site_label
_atom_site_fract_x
_atom_site_fract_y
_atom_site_fract_z
Sc1 0.000 0.000 0.000
Al1 0.000 0.000 0.500
Cl1 0.000 0.500 0.294
```

Results
**Energy**: -84.29 eV for the cell shown
**Energy relative to the elements, uncorrected**: -1050 meV per atom
**Density**: 2.79 g/cm³
**Crystal system**: orthorhombic
**Total magnetic moment**: 0.000 μB/atom

---

6.
A plane-wave DFT calculation with SCAN was carried out for a PBEsol-optimized structure of ZnHgOs2.

Geometry as CIF:
```
data_ZnHgOs2
_space_group_name_H-M_alt 'I -4 m 2'
_space_group_IT_number 119
_space_group_name_Hall 'I -4 -2'
_cell_length_a 4.050
_cell_length_b 4.050
_cell_length_c 7.369
_cell_angle_alpha 90.00
_cell_angle_beta 90.00
_cell_angle_gamma 90.00
loop_
_atom_site_label
_atom_site_fract_x
_atom_site_fract_y
_atom_site_fract_z
Zn1 0.000 0.000 0.000
Hg1 0.000 0.500 0.250
Os1 0.000 0.000 0.500
Os2 0.000 0.500 0.750
```

Results
**Energy**: -444.92 eV for the cell shown
**ΔE_f**: 0.75 eV per atom
**Density**: 17.76 g/cm³
**Crystal system**: tetragonal
**Total magnetic moment**: 0.000 μB/atom